VASP calculation (GGA-PBE) on an optimized crystal structure of LaCd2Ir.

Values from the calculation:
DFT formation energy: 0.8 eV per formula unit
density: 10.58 g cm⁻³
total magnetization: 0.9 μB/cell

Cell and atoms, written as CIF:
```
data_LaCd2Ir
_cell_length_a 3.1258
_cell_length_b 3.1258
_cell_length_c 30.9469
_cell_angle_alpha 90.00
_cell_angle_beta 90.00
_cell_angle_gamma 120.00
_space_group_name_H-M_alt 'R -3 m'
_space_group_IT_number 166
_space_group_name_Hall '-R 3 2"'
loop_
_atom_site_label
_atom_site_type_symbol
_atom_site_fract_x
_atom_site_fract_y
_atom_site_fract_z
_atom_site_occupancy
La1 La 0.0000 0.0000 0.0000 1
Cd1 Cd 0.0000 0.0000 0.2375 1
Ir1 Ir 0.0000 0.0000 0.5000 1
```